# PrZnCu2Pd4

A geometry-optimized PrZnCu2Pd4 structure (GGA-PBE, the Alexandria database).

Results
Energy = -38.427 eV/f.u.
Magnetization = 0.000 Bohr magnetons per cell
Calculated formation energy = -426 meV/atom

Lattice parameters (Å, degrees): 4.345 4.345 8.619 75.40 75.40 60.00
Sites, in units of the cell vectors:
Pr: 0.000 0.000 0.000
Zn: 0.500 0.500 0.500
Cu: 0.758 0.758 0.725
Cu: 0.242 0.242 0.275
Pd: 0.399 0.399 0.802
Pd: 0.870 0.870 0.389
Pd: 0.130 0.130 0.611
Pd: 0.601 0.601 0.198